[1]
Here is an optimized crystal structure of VHgS2 from Alexandria. Energies are from GGA-PBE.

Output
Formation energy without anion corrections   -0.6433 eV per atom
Electronic total energy   -5.062 eV/atom

a = 3.177 Å, b = 3.177 Å, c = 18.679 Å
α = 90.00°, β = 90.00°, γ = 120.00°
Fractional positions:
S  0.667  0.333  0.579
S  0.333  0.667  0.421
S  0.667  0.333  0.921
Hg  0.667  0.333  0.750
V  0.000  0.000  0.500
Hg  0.333  0.667  0.250
S  0.333  0.667  0.079
V  0.000  0.000  0.000

[2]
Here is an optimized crystal structure of KGe4Ir from Alexandria. Energies are from GGA-PBE.

Output
DFT formation energy   -41 meV/atom
Electronic total energy   -4.779 eV/atom

a = 5.340 Å, b = 7.700 Å, c = 9.291 Å
α = 114.48°, β = 107.79°, γ = 90.00°
Fractional positions:
Ge  0.455  0.205  0.793
Ge  0.193  0.647  0.295
Ge  0.000  0.779  0.000
Ge  0.545  0.413  0.207
K  0.855  0.808  0.617
Ge  0.000  0.221  0.000
Ge  0.455  0.587  0.793
K  0.145  0.192  0.383
Ir  0.232  0.481  0.962
Ge  0.545  0.795  0.207
Ge  0.807  0.353  0.705
Ir  0.768  0.519  0.038

[3]
Here is an optimized crystal structure of La5Pm12Tm2 from Alexandria. Energies are from GGA-PBE.

Output
Offset from the most stable computed form   0.000 eV per atom
DFT formation energy   98 meV/atom
Electronic total energy   -4.670 eV/atom

a = 6.285 Å, b = 10.870 Å, c = 10.870 Å
α = 66.32°, β = 79.19°, γ = 79.19°
Fractional positions:
Pm  0.198  0.057  0.550
Tm  0.000  0.772  0.228
Pm  0.382  0.357  0.846
Pm  0.727  0.551  0.551
Pm  0.002  0.121  0.121
Pm  0.998  0.879  0.879
La  0.555  0.785  0.785
Pm  0.618  0.154  0.643
Tm  0.000  0.228  0.772
La  0.500  0.000  0.000
La  0.852  0.325  0.325
Pm  0.802  0.943  0.450
Pm  0.802  0.450  0.943
Pm  0.273  0.449  0.449
La  0.148  0.675  0.675
Pm  0.198  0.550  0.057
Pm  0.382  0.846  0.357
Pm  0.618  0.643  0.154
La  0.445  0.215  0.215

[4]
Here is an optimized crystal structure of Cr2SbAu from Alexandria. Energies are from GGA-PBE.

Output
Formation energy without anion corrections   0.3970 eV per atom
Electronic total energy   -6.265 eV/atom

a = 8.925 Å, b = 8.925 Å, c = 8.925 Å
α = 19.41°, β = 19.41°, γ = 19.41°
Each line ends with the local moment (μB).
Fractional positions:
Au  0.737  0.737  0.737  0.00
Cr  0.988  0.988  0.988  -0.07
Cr  0.264  0.264  0.264  0.07
Sb  0.511  0.511  0.511  0.00

[5]
Here is an optimized crystal structure of TbEr6In2 from Alexandria. Energies are from GGA-PBE.

Output
DFT formation energy   -203 meV/atom
Electronic total energy   -4.368 eV/atom

a = 3.709 Å, b = 6.567 Å, c = 11.710 Å
α = 74.98°, β = 80.89°, γ = 73.60°
Fractional positions:
Er  0.014  0.315  0.657
Er  0.986  0.685  0.343
In  0.356  0.079  0.210
Er  0.684  0.508  0.124
In  0.644  0.921  0.790
Er  0.311  0.795  0.583
Er  0.316  0.492  0.876
Tb  0.000  0.000  0.000
Er  0.689  0.205  0.417

[6]
Here is an optimized crystal structure of Fe3Ir4Rh2 from Alexandria. Energies are from GGA-PBE.

Output
DFT formation energy   -43 meV/atom
Electronic total energy   -8.436 eV/atom

a = 3.803 Å, b = 4.653 Å, c = 8.016 Å
α = 73.47°, β = 76.28°, γ = 65.88°
Each line ends with the local moment (μB).
Fractional positions:
Fe  0.663  0.230  0.443  2.60
Ir  0.005  0.329  0.661  0.03
Ir  0.666  0.557  0.111  -0.01
Ir  0.334  0.443  0.889  -0.01
Rh  0.332  0.111  0.226  0.07
Rh  0.668  0.889  0.774  0.07
Fe  0.337  0.770  0.557  2.60
Ir  0.995  0.671  0.339  0.03
Fe  0.000  0.000  0.000  2.71

[7]
Here is an optimized crystal structure of Pm3AuI from Alexandria. Energies are from GGA-PBE.

Output
Formation energy without anion corrections   -0.5361 eV per atom
Electronic total energy   -4.352 eV/atom

a = 3.837 Å, b = 9.545 Å, c = 8.933 Å
α = 90.00°, β = 90.00°, γ = 90.00°
Fractional positions:
Au  0.250  0.750  0.019
Au  0.750  0.250  0.981
Pm  0.750  0.943  0.833
Pm  0.750  0.557  0.833
Pm  0.250  0.443  0.167
I  0.750  0.250  0.414
Pm  0.750  0.750  0.276
Pm  0.250  0.250  0.724
I  0.250  0.750  0.586
Pm  0.250  0.057  0.167

[8]
Here is an optimized crystal structure of La2As2Pt from Alexandria. Energies are from GGA-PBE.

Output
DFT formation energy   -1066 meV/atom
Electronic total energy   -6.105 eV/atom

a = 7.610 Å, b = 7.610 Å, c = 4.187 Å
α = 90.00°, β = 90.00°, γ = 90.00°
Fractional positions:
La  0.654  0.846  0.500
As  0.160  0.340  0.000
Pt  0.000  0.000  0.000
As  0.660  0.160  0.000
La  0.154  0.654  0.500
La  0.846  0.346  0.500
Pt  0.500  0.500  0.000
La  0.346  0.154  0.500
As  0.840  0.660  0.000
As  0.340  0.840  0.000

[9]
Here is an optimized crystal structure of AlV3Cr from Alexandria. Energies are from GGA-PBE.

Output
Offset from the most stable computed form   0.838 eV per atom
DFT formation energy   741 meV/atom
Electronic total energy   -7.403 eV/atom

a = 4.315 Å, b = 4.315 Å, c = 4.315 Å
α = 90.00°, β = 90.00°, γ = 90.00°
Fractional positions:
V  0.500  0.000  0.000
V  0.000  0.000  0.500
Cr  0.000  0.000  0.000
Al  0.500  0.500  0.500
V  0.000  0.500  0.000

[10]
Here is an optimized crystal structure of CrIn2Sb from Alexandria. Energies are from GGA-PBE.

Output
Formation energy without anion corrections   0.3187 eV per atom
Electronic total energy   -4.487 eV/atom

a = 3.262 Å, b = 3.262 Å, c = 8.693 Å
α = 90.00°, β = 90.00°, γ = 90.00°
Each line ends with the local moment (μB).
Fractional positions:
Cr  0.500  0.500  0.750  3.46
Sb  0.500  0.500  0.250  0.03
In  0.000  0.000  0.541  -0.03
In  0.000  0.000  0.959  -0.03